Here is In6Sn8S19 at its PBEsol-relaxed geometry from Alexandria. Energies are from meta-GGA SCAN.

Results
Energy ... -687.9 eV per cell
Energy relative to the elements, uncorrected ... -0.5242 eV/atom

a = 3.808 Å, b = 14.673 Å, c = 14.678 Å
α = 62.96°, β = 83.14°, γ = 82.60°
Space group P1 (No. 1)
One atom of each set of equivalent atoms:
In 0.000 0.000 0.000 [1 per cell]
In 0.043 0.709 0.231 [1 per cell]
In 0.228 0.205 0.351 [1 per cell]
In 0.276 0.746 0.710 [1 per cell]
In 0.419 0.932 0.252 [1 per cell]
In 0.625 0.776 0.979 [1 per cell]
Sn 0.324 0.248 0.062 [1 per cell]
Sn 0.387 0.323 0.752 [1 per cell]
Sn 0.460 0.636 0.496 [1 per cell]
Sn 0.587 0.079 0.731 [1 per cell]
Sn 0.675 0.389 0.484 [1 per cell]
Sn 0.708 0.459 0.182 [1 per cell]
Sn 0.760 0.966 0.523 [1 per cell]
Sn 0.809 0.504 0.880 [1 per cell]
S 0.000 0.487 0.563 [1 per cell]
S 0.042 0.226 0.669 [1 per cell]
S 0.100 0.908 0.885 [1 per cell]
S 0.135 0.655 0.088 [1 per cell]
S 0.165 0.390 0.330 [1 per cell]
S 0.212 0.941 0.652 [1 per cell]
S 0.267 0.455 0.016 [1 per cell]
S 0.307 0.009 0.385 [1 per cell]
S 0.349 0.551 0.747 [1 per cell]
S 0.485 0.119 0.898 [1 per cell]
S 0.521 0.856 0.115 [1 per cell]
S 0.557 0.592 0.334 [1 per cell]
S 0.689 0.154 0.485 [1 per cell]
S 0.734 0.695 0.849 [1 per cell]
S 0.774 0.261 0.209 [1 per cell]
S 0.826 0.776 0.577 [1 per cell]
S 0.876 0.320 0.903 [1 per cell]
S 0.907 0.055 0.144 [1 per cell]
S 0.942 0.800 0.345 [1 per cell]



Here is SrIn3S at its PBEsol-relaxed geometry from Alexandria. Energies are from meta-GGA SCAN.

Results
N(E_F) ... 3.370 states/eV/cell
Energy ... -127.3 eV per cell
Energy relative to the elements, uncorrected ... 0.9563 eV/atom

a = 5.963 Å, b = 5.963 Å, c = 5.963 Å
α = 90.00°, β = 90.00°, γ = 90.00°
Space group Pm-3m (No. 221)
One atom of each set of equivalent atoms:
Sr 0.000 0.000 0.000 [1 per cell]
In 0.000 0.000 0.500 [3 per cell]
S 0.500 0.500 0.500 [1 per cell]



Here is SrIn2S4 at its PBEsol-relaxed geometry from Alexandria. Energies are from meta-GGA SCAN.

Results
N(E_F) ... 0.000 states/eV/cell
Energy ... -4359.3 eV per cell
Energy relative to the elements, uncorrected ... -1.2380 eV/atom

a = 12.949 Å, b = 20.808 Å, c = 20.941 Å
α = 90.00°, β = 90.00°, γ = 90.00°
Space group Fddd (No. 70, origin choice 2)
One atom of each set of equivalent atoms:
Sr 0.125 0.125 0.125 [8 per cell]
Sr 0.125 0.125 0.625 [8 per cell]
Sr 0.125 0.372 0.125 [16 per cell]
In 0.091 0.000 0.946 [32 per cell]
In 0.124 0.251 0.488 [32 per cell]
S 0.001 0.340 0.250 [32 per cell]
S 0.002 0.089 0.500 [32 per cell]
S 0.009 0.002 0.157 [32 per cell]
S 0.019 0.252 0.589 [32 per cell]



Here is Tb4In5S13 at its PBEsol-relaxed geometry from Alexandria. Energies are from meta-GGA SCAN.

Results
N(E_F) ... 6.811 states/eV/cell
Energy ... -1019.8 eV per cell
Energy relative to the elements, uncorrected ... -1.3989 eV/atom

a = 11.775 Å, b = 21.127 Å, c = 3.814 Å
α = 90.00°, β = 90.00°, γ = 90.00°
Space group Pbam (No. 55)
One atom of each set of equivalent atoms:
Tb 0.017 0.172 0.000 [4 per cell]
Tb 0.175 0.340 0.000 [4 per cell]
In 0.000 0.500 0.000 [2 per cell]
In 0.154 0.992 0.500 [4 per cell]
In 0.157 0.668 0.500 [4 per cell]
S 0.000 0.000 0.000 [2 per cell]
S 0.006 0.406 0.500 [4 per cell]
S 0.085 0.261 0.500 [4 per cell]
S 0.149 0.865 0.500 [4 per cell]
S 0.156 0.113 0.500 [4 per cell]
S 0.165 0.741 0.000 [4 per cell]
S 0.204 0.473 0.000 [4 per cell]



Here is InTeS2 at its PBEsol-relaxed geometry from Alexandria. Energies are from meta-GGA SCAN.

Results
N(E_F) ... 3.620 states/eV/cell
Relative energy among the computed polymorphs ... 0.000 eV per atom
Energy ... -273.8 eV per cell
Energy relative to the elements, uncorrected ... -0.3401 eV/atom

a = 3.7623 Å, b = 3.7623 Å, c = 24.2892 Å
α = 90.00°, β = 90.00°, γ = 120.00°
Space group R-3m (No. 166, hexagonal axes)
One atom of each set of equivalent atoms:
In 0.0000 0.0000 0.0000 [3 per cell]
Te 0.0000 0.0000 0.5000 [3 per cell]
S 0.0000 0.0000 0.3927 [6 per cell]



Here is InTeS2 at its PBEsol-relaxed geometry from Alexandria. Energies are from meta-GGA SCAN.

Results
N(E_F) ... 7.848 states/eV/cell
Relative energy among the computed polymorphs ... 0.590 eV per atom
Energy ... -355.6 eV per cell
Energy relative to the elements, uncorrected ... 0.2503 eV/atom

a = 6.846 Å, b = 6.846 Å, c = 6.846 Å
α = 90.00°, β = 90.00°, γ = 90.00°
Space group Fm-3m (No. 225)
One atom of each set of equivalent atoms:
In 0.000 0.000 0.000 [4 per cell]
Te 0.000 0.000 0.500 [4 per cell]
S 0.250 0.250 0.250 [8 per cell]



> Which of these has the lowest energy?

SrIn2S4



> Among the records above, which one has the lowest energy relative to the elements, uncorrected?

Tb4In5S13